Record 1
A relaxed Gd2HoMg crystal. Source: Alexandria via LeMat-Bulk, functional PBE-GGA.

Cell: 3.5851 3.5851 9.3494 Å, 90.00 90.00 90.00°
Last column: nearest neighbours and their distance in Å.
Fractional positions:
Gd: 0.0000 0.0000 0.2368  4 Mg 3.37, 4 Ho 3.53, 4 Gd 3.59
Gd: 0.0000 0.0000 0.7632  4 Mg 3.37, 4 Ho 3.53, 4 Gd 3.59
Ho: 0.5000 0.5000 0.5000  8 Gd 3.53, 4 Ho 3.59
Mg: 0.5000 0.5000 0.0000  8 Gd 3.37, 4 Mg 3.59

Values from the calculation:
Formation enthalpy at 0 K, meV per atom: -29
Fermi-level density of states, states/eV per atom: 1.49
M_tot, μB/atom: 3.722
Space group: No. 123

Record 2
A relaxed GdHoMg crystal. Source: Alexandria via LeMat-Bulk, functional PBE-GGA.

Cell: 5.4481 5.4481 3.3731 Å, 90.00 90.00 120.00°
Last column: nearest neighbours and their distance in Å.
Fractional positions:
Gd: 0.0000 0.0000 0.0000  3 Mg 3.30, 2 Gd 3.37, 3 Ho 3.45
Ho: 0.6667 0.3333 0.5818  3 Mg 3.29, 2 Ho 3.37, 3 Gd 3.45
Mg: 0.3333 0.6667 0.2996  3 Ho 3.29, 3 Gd 3.30, 2 Mg 3.37

Values from the calculation:
Formation enthalpy at 0 K, meV per atom: 40
Fermi-level density of states, states/eV per atom: 1.28
M_tot, μB/atom: 2.457
Space group: No. 156

Record 3
A relaxed Gd2HoMg crystal. Source: Alexandria via LeMat-Bulk, functional PBE-GGA.

Cell: 5.5097 5.5097 5.5097 Å, 60.00 60.00 60.00°
Last column: nearest neighbours and their distance in Å.
Fractional positions:
Gd: 0.2500 0.2500 0.2500  4 Mg 3.37, 4 Ho 3.37
Gd: 0.7500 0.7500 0.7500  4 Mg 3.37, 4 Ho 3.37
Ho: 0.0000 0.0000 0.0000  8 Gd 3.37
Mg: 0.5000 0.5000 0.5000  8 Gd 3.37

Values from the calculation:
Formation enthalpy at 0 K, meV per atom: 27
Fermi-level density of states, states/eV per atom: 1.03
M_tot, μB/atom: 3.736
Space group: No. 225

Record 4
A relaxed GdHoMgMn crystal. Source: Alexandria via LeMat-Bulk, functional PBE-GGA.

Cell: 5.1932 5.1932 5.1932 Å, 60.00 60.00 60.00°
Last column: nearest neighbours and their distance in Å.
Fractional positions:
Gd: 0.0000 0.0000 0.0000  4 Mg 3.18, 4 Mn 3.18
Ho: 0.5000 0.5000 0.5000  4 Mg 3.18, 4 Mn 3.18
Mg: 0.7500 0.7500 0.7500  4 Gd 3.18, 4 Ho 3.18
Mn: 0.2500 0.2500 0.2500  4 Gd 3.18, 4 Ho 3.18

Values from the calculation:
Formation enthalpy at 0 K, meV per atom: 114
Fermi-level density of states, states/eV per atom: 1.22
M_tot, μB/atom: 2.618
Space group: No. 216

Record 5
A relaxed NdGdHoMg crystal. Source: Alexandria via LeMat-Bulk, functional PBE-GGA.

Cell: 5.5641 5.5641 5.5641 Å, 60.00 60.00 60.00°
Last column: nearest neighbours and their distance in Å.
Fractional positions:
Nd: 0.0000 0.0000 0.0000  4 Ho 3.41, 4 Mg 3.41
Gd: 0.5000 0.5000 0.5000  4 Ho 3.41, 4 Mg 3.41
Ho: 0.7500 0.7500 0.7500  4 Gd 3.41, 4 Nd 3.41
Mg: 0.2500 0.2500 0.2500  4 Gd 3.41, 4 Nd 3.41

Values from the calculation:
Formation enthalpy at 0 K, meV per atom: 25
Fermi-level density of states, states/eV per atom: 1.27
M_tot, μB/atom: 1.874
Space group: No. 216

Record 6
A relaxed GdHoMgNi crystal. Source: Alexandria via LeMat-Bulk, functional PBE-GGA.

Cell: 5.0627 5.0627 5.0627 Å, 60.00 60.00 60.00°
Last column: nearest neighbours and their distance in Å.
Fractional positions:
Gd: 0.0000 0.0000 0.0000  4 Ni 3.10, 4 Mg 3.10
Ho: 0.5000 0.5000 0.5000  4 Mg 3.10, 4 Ni 3.10
Mg: 0.2500 0.2500 0.2500  4 Gd 3.10, 4 Ho 3.10
Ni: 0.7500 0.7500 0.7500  4 Gd 3.10, 4 Ho 3.10

Values from the calculation:
Formation enthalpy at 0 K, meV per atom: -109
Fermi-level density of states, states/eV per atom: 0.79
M_tot, μB/atom: 1.783
Space group: No. 216

Record 7
A relaxed GdHoMgOs crystal. Source: Alexandria via LeMat-Bulk, functional PBE-GGA.

Cell: 5.0037 5.0037 5.0037 Å, 60.00 60.00 60.00°
Last column: nearest neighbours and their distance in Å.
Fractional positions:
Gd: 0.0000 0.0000 0.0000  4 Mg 3.06, 4 Os 3.06
Ho: 0.5000 0.5000 0.5000  4 Os 3.06, 4 Mg 3.06
Mg: 0.7500 0.7500 0.7500  4 Gd 3.06, 4 Ho 3.06
Os: 0.2500 0.2500 0.2500  4 Gd 3.06, 4 Ho 3.06

Values from the calculation:
Formation enthalpy at 0 K, meV per atom: -129
Fermi-level density of states, states/eV per atom: 0.79
M_tot, μB/atom: 1.775
Space group: No. 216

Record 8
A relaxed GdHoMgPd crystal. Source: Alexandria via LeMat-Bulk, functional PBE-GGA.

Cell: 5.1462 5.1462 5.1462 Å, 60.00 60.00 60.00°
Last column: nearest neighbours and their distance in Å.
Fractional positions:
Gd: 0.0000 0.0000 0.0000  4 Mg 3.15, 4 Pd 3.15
Ho: 0.5000 0.5000 0.5000  4 Mg 3.15, 4 Pd 3.15
Mg: 0.7500 0.7500 0.7500  4 Gd 3.15, 4 Ho 3.15
Pd: 0.2500 0.2500 0.2500  4 Gd 3.15, 4 Ho 3.15

Values from the calculation:
Formation enthalpy at 0 K, meV per atom: -394
Fermi-level density of states, states/eV per atom: 0.68
M_tot, μB/atom: 1.783
Space group: No. 216

What is the formula in the second record?
GdHoMg

The highest M_tot belongs to which entry?
number 3

Among the records above, which one has the highest Fermi-level density of states?
number 1